*one*
This record from Alexandria via LeMat-Bulk describes a geometry-optimized Sm2HoHg4 structure. The functional is PBE.

Summary:
Density = 8.608 g cm⁻³
Calculated volume = 34.9 A^3/atom

a b c (Å): 8.7177 8.7177 8.7177
angles (deg): 142.43 142.43 54.18
With the nearest neighbours (Å) after each atom.
Fractional coordinates of all 7 atoms:
Sm 0.1052 0.1052 0.0000  5 Hg 3.11-3.25, 1 Sm 3.27
Sm 0.8948 0.8948 0.0000  5 Hg 3.11-3.25, 1 Sm 3.27
Ho 0.5000 0.5000 0.0000  6 Hg 2.81-3.02
Hg 0.0000 0.5000 0.5000  2 Ho 2.81
Hg 0.3057 0.3057 0.0000  1 Ho 3.02, 1 Sm 3.11
Hg 0.5000 0.0000 0.5000  2 Ho 2.81
Hg 0.6943 0.6943 0.0000  1 Ho 3.02, 1 Sm 3.11

*two*
This record from Alexandria via LeMat-Bulk describes a geometry-optimized Sm2HoHg4 structure. The functional is PBE.

Summary:
Density = 10.431 g cm⁻³
Calculated volume = 28.8 A^3/atom

a b c (Å): 9.3375 9.3375 9.3375
angles (deg): 31.89 31.89 31.89
With the nearest neighbours (Å) after each atom.
Fractional coordinates of all 7 atoms:
Sm 0.2443 0.2443 0.2443  8 Hg 3.12-3.39
Sm 0.7557 0.7557 0.7557  8 Hg 3.12-3.39
Ho 0.0000 0.0000 0.0000  8 Hg 3.13-3.36
Hg 0.1264 0.1264 0.1264  4 Sm 3.12-3.13, 1 Ho 3.36
Hg 0.3717 0.3717 0.3717  3 Ho 3.13, 4 Sm 3.25-3.39
Hg 0.6283 0.6283 0.6283  3 Ho 3.13, 4 Sm 3.25-3.39
Hg 0.8736 0.8736 0.8736  4 Sm 3.12-3.13, 1 Ho 3.36

Most favorable first, least favorable last: *two*, *one*